(1)
Entry from Alexandria via LeMat-Bulk: a relaxed structure of BaSmS2F (PBE-GGA).

Unit cell a=4.1420 b=4.1420 c=14.6819 alpha=90.00 beta=90.00 gamma=90.00
Element x y z (fractional)
Ba 0.5000 0.0000 0.6123
Ba 0.0000 0.5000 0.3877
Sm 0.5000 0.0000 0.1159
Sm 0.0000 0.5000 0.8841
S 0.0000 0.5000 0.7112
S 0.0000 0.5000 0.0899
S 0.5000 0.0000 0.9101
S 0.5000 0.0000 0.2888
F 0.0000 0.0000 0.5000
F 0.5000 0.5000 0.5000

## Properties
E_form (uncorrected)   -2547 meV/atom
Density of states at the Fermi level   0.013 states/eV/atom
Calculated volume   126 Å³/f.u.

---

(2)
Entry from Alexandria via LeMat-Bulk: a relaxed structure of Ba2SnS3F2 (PBE-GGA).

Unit cell a=6.3016 b=6.4269 c=19.5883 alpha=90.00 beta=90.00 gamma=90.00
Element x y z (fractional)
Ba 0.2472 0.4976 0.4230
Ba 0.7472 0.0024 0.0770
Ba 0.2528 0.9976 0.5770
Ba 0.7528 0.5024 0.9230
Ba 0.7528 0.5024 0.5770
Ba 0.2528 0.9976 0.9230
Ba 0.7472 0.0024 0.4230
Ba 0.2472 0.4976 0.0770
Sn 0.1578 0.5845 0.7500
Sn 0.6578 0.9155 0.7500
Sn 0.3422 0.0845 0.2500
Sn 0.8422 0.4155 0.2500
S 0.7446 0.5157 0.1378
S 0.7632 0.5419 0.7500
S 0.7368 0.0419 0.2500
S 0.2368 0.4581 0.2500
S 0.2446 0.9843 0.3622
S 0.7554 0.0157 0.8622
S 0.2554 0.4843 0.6378
S 0.2554 0.4843 0.8622
S 0.7446 0.5157 0.3622
S 0.2446 0.9843 0.1378
S 0.2632 0.9581 0.7500
S 0.7554 0.0157 0.6378
F 0.4991 0.2524 0.9992
F 0.9991 0.2476 0.5008
F 0.5009 0.7476 0.4992
F 0.4991 0.2524 0.5008
F 0.9991 0.2476 0.9992
F 0.0009 0.7524 0.4992
F 0.5009 0.7476 0.0008
F 0.0009 0.7524 0.0008

## Properties
E_form (uncorrected)   -2190 meV/atom
Density of states at the Fermi level   0.000 states/eV/atom
Calculated volume   198 Å³/f.u.

---

(3)
Entry from Alexandria via LeMat-Bulk: a relaxed structure of BaSnS2F (PBE-GGA).

Unit cell a=4.1330 b=4.1330 c=14.0634 alpha=90.00 beta=90.00 gamma=90.00
Element x y z (fractional)
Ba 0.5000 0.0000 0.6181
Ba 0.0000 0.5000 0.3819
Sn 0.5000 0.0000 0.1092
Sn 0.0000 0.5000 0.8908
S 0.0000 0.5000 0.7170
S 0.0000 0.5000 0.0972
S 0.5000 0.0000 0.9028
S 0.5000 0.0000 0.2830
F 0.0000 0.0000 0.5000
F 0.5000 0.5000 0.5000

## Properties
E_form (uncorrected)   -1712 meV/atom
Density of states at the Fermi level   0.299 states/eV/atom
Calculated volume   120 Å³/f.u.

---

(4)
Entry from Alexandria via LeMat-Bulk: a relaxed structure of BaTbS2F (PBE-GGA).

Unit cell a=4.1003 b=4.1003 c=14.5720 alpha=90.00 beta=90.00 gamma=90.00
Element x y z (fractional)
Ba 0.5000 0.0000 0.6143
Ba 0.0000 0.5000 0.3857
Tb 0.5000 0.0000 0.1134
Tb 0.0000 0.5000 0.8866
S 0.0000 0.5000 0.7155
S 0.0000 0.5000 0.0884
S 0.5000 0.0000 0.9116
S 0.5000 0.0000 0.2845
F 0.0000 0.0000 0.5000
F 0.5000 0.5000 0.5000

## Properties
E_form (uncorrected)   -2549 meV/atom
Density of states at the Fermi level   0.007 states/eV/atom
Calculated volume   122 Å³/f.u.

---

(5)
Entry from Alexandria via LeMat-Bulk: a relaxed structure of Ba2US3F3 (PBE-GGA).

Unit cell a=4.1106 b=7.3498 c=7.3498 alpha=120.00 beta=90.00 gamma=90.00
Site moments in Bohr magnetons follow the coordinates.
Element x y z (fractional)
Ba 0.5000 0.3333 0.6667  -0.01
Ba 0.5000 0.6667 0.3333  -0.01
U 0.0000 0.0000 0.0000  1.30
S 0.0000 0.0000 0.3570  -0.06
S 0.0000 0.6430 0.6430  -0.06
S 0.0000 0.3570 0.0000  -0.06
F 0.5000 0.7952 0.0000  -0.01
F 0.5000 0.2048 0.2048  -0.01
F 0.5000 0.0000 0.7952  -0.01

## Properties
E_form (uncorrected)   -2457 meV/atom
Density of states at the Fermi level   0.899 states/eV/atom
Calculated volume   192 Å³/f.u.

---

(6)
Entry from Alexandria via LeMat-Bulk: a relaxed structure of BaYS2F (PBE-GGA).

Unit cell a=4.1018 b=4.1018 c=14.5047 alpha=90.00 beta=90.00 gamma=90.00
Element x y z (fractional)
Ba 0.5000 0.0000 0.6148
Ba 0.0000 0.5000 0.3852
Y 0.5000 0.0000 0.1124
Y 0.0000 0.5000 0.8876
S 0.0000 0.5000 0.7163
S 0.0000 0.5000 0.0877
S 0.5000 0.0000 0.9123
S 0.5000 0.0000 0.2837
F 0.0000 0.0000 0.5000
F 0.5000 0.5000 0.5000

## Properties
E_form (uncorrected)   -2552 meV/atom
Calculated volume   122 Å³/f.u.

---

(7)
Entry from Alexandria via LeMat-Bulk: a relaxed structure of BaZnSF2 (PBE-GGA).

Unit cell a=6.4113 b=6.4113 c=6.4195 alpha=119.96 beta=119.96 gamma=90.00
Element x y z (fractional)
Ba 0.7500 0.2500 0.5001
Ba 0.2500 0.7500 0.5001
Zn 0.0001 0.0001 0.0001
Zn 0.5001 0.5001 0.0001
S 0.7501 0.7501 0.5001
S 0.2501 0.2501 0.5001
F 0.3237 0.8237 0.0001
F 0.8237 0.6764 0.0001
F 0.6764 0.1764 0.0001
F 0.1764 0.3237 0.0001

## Properties
E_form (uncorrected)   -2354 meV/atom
Density of states at the Fermi level   0.000 states/eV/atom
Calculated volume   93 Å³/f.u.

---

(8)
Entry from Alexandria via LeMat-Bulk: a relaxed structure of BaZnS2F (PBE-GGA).

Unit cell a=5.4997 b=3.8058 c=5.4997 alpha=90.00 beta=90.00 gamma=90.00
Site moments in Bohr magnetons follow the coordinates.
Element x y z (fractional)
S 0.0000 0.0000 0.5000  0.35
S 0.5000 0.0000 0.0000  0.27
Zn 0.0000 0.5000 0.0000  -0.03
Ba 0.5000 0.5000 0.5000  -0.01
F 0.0000 0.0000 0.0000  0.09

## Properties
E_form (uncorrected)   -868 meV/atom
Density of states at the Fermi level   0.337 states/eV/atom
Calculated volume   115 Å³/f.u.